Record 1
VASP calculation (PBE) on a relaxed structure of DyMnInBr6.

abc: 7.1400 7.1400 14.5446
angles: 90.00 90.00 120.00
Space group P-31c (No. 163)
Symmetry-distinct sites (fractional):
Dy 0.3333 0.6667 0.2500 (multiplicity 2)
Mn 0.3333 0.6667 0.7500 (multiplicity 2)
In 0.0000 0.0000 0.0000 (multiplicity 2)
Br 0.0113 0.3757 0.6410 (multiplicity 12)

## Properties
The value obtained for the uncorrected formation energy is -1244 meV/atom. The value obtained for the density of states at the Fermi level is 0.000 states/eV/cell. Its calculated total energy is -0.154 Ha/atom.

Record 2
VASP calculation (PBE) on a relaxed structure of Na2DyInBr6.

abc: 7.5829 7.5829 20.8385
angles: 90.00 90.00 120.00
Space group R3 (No. 146, hexagonal axes)
Symmetry-distinct sites (fractional):
Na 0.0000 0.0000 0.0000 (multiplicity 3)
Na 0.0000 0.0000 0.4855 (multiplicity 3)
Dy 0.0000 0.0000 0.6783 (multiplicity 3)
In 0.0000 0.0000 0.1949 (multiplicity 3)
Br 0.0089 0.3197 0.7491 (multiplicity 9)
Br 0.0276 0.6302 0.2587 (multiplicity 9)

## Properties
The value obtained for the uncorrected formation energy is -1504 meV/atom. The value obtained for the density of states at the Fermi level is 0.000 states/eV/cell. Its calculated total energy is -0.129 Ha/atom.

Record 3
VASP calculation (PBE) on a relaxed structure of DyInPb2Br8.

abc: 6.866 9.219 7.243
angles: 90.00 90.91 90.00
Space group P2/m (No. 10)
Symmetry-distinct sites (fractional):
Dy 0.000 0.000 0.000 (multiplicity 1)
In 0.000 0.500 0.000 (multiplicity 1)
Pb 0.500 0.251 0.500 (multiplicity 2)
Br 0.236 0.219 0.155 (multiplicity 4)
Br 0.239 0.000 0.682 (multiplicity 2)
Br 0.270 0.500 0.639 (multiplicity 2)

## Properties
The value obtained for the uncorrected formation energy is -1172 meV/atom. The value obtained for the density of states at the Fermi level is 0.000 states/eV/cell. Its calculated total energy is -0.129 Ha/atom.

Record 4
VASP calculation (PBE) on a relaxed structure of DyInPbBr6.

abc: 7.6205 7.6205 14.1534
angles: 90.00 90.00 120.00
Space group P-31c (No. 163)
Symmetry-distinct sites (fractional):
Dy 0.3333 0.6667 0.2500 (multiplicity 2)
In 0.0000 0.0000 0.0000 (multiplicity 2)
Pb 0.3333 0.6667 0.7500 (multiplicity 2)
Br 0.0236 0.3754 0.1340 (multiplicity 12)

## Properties
The value obtained for the uncorrected formation energy is -1299 meV/atom. The value obtained for the density of states at the Fermi level is 0.000 states/eV/cell. Its calculated total energy is -0.134 Ha/atom.

Record 5
VASP calculation (PBE) on a relaxed structure of Rb2DyInBr6.

abc: 8.026 8.533 14.036
angles: 90.00 124.37 90.00
Space group P2_1/c (No. 14)
Symmetry-distinct sites (fractional):
Rb 0.221 0.076 0.249 (multiplicity 4)
Dy 0.500 0.000 0.000 (multiplicity 2)
In 0.000 0.000 0.500 (multiplicity 2)
Br 0.163 0.179 0.948 (multiplicity 4)
Br 0.269 0.723 0.940 (multiplicity 4)
Br 0.380 0.035 0.770 (multiplicity 4)

## Properties
The value obtained for the uncorrected formation energy is -1618 meV/atom. The value obtained for the density of states at the Fermi level is 0.000 states/eV/cell. Its calculated total energy is -0.130 Ha/atom.

Record 6
VASP calculation (PBE) on a relaxed structure of DyInSn2Br8.

abc: 6.821 7.236 9.195
angles: 87.20 88.20 88.54
Space group P-1 (No. 2)
Symmetry-distinct sites (fractional):
Dy 0.000 0.000 0.000 (multiplicity 1)
In 0.000 0.000 0.500 (multiplicity 1)
Sn 0.494 0.490 0.748 (multiplicity 2)
Br 0.230 0.834 0.782 (multiplicity 2)
Br 0.239 0.317 0.980 (multiplicity 2)
Br 0.244 0.850 0.220 (multiplicity 2)
Br 0.276 0.359 0.529 (multiplicity 2)

## Properties
The value obtained for the uncorrected formation energy is -1094 meV/atom. The value obtained for the density of states at the Fermi level is 0.000 states/eV/cell. Its calculated total energy is -0.128 Ha/atom.

Question: Among the records above, which one has the lowest uncorrected formation energy?
Answer: Rb2DyInBr6

Question: Look up the calculated total energy of the second one.
Answer: -0.129 Ha/atom

Question: The lowest uncorrected formation energy belongs to which entry?
Answer: Rb2DyInBr6